[1]
An optimized crystal structure of Zr2BiO, computed with GGA-PBE. Values from VASP.

Results
- Magnetization: 0.0 μB/cell
- Electronic total energy: -0.276 hartree per atom
- Crystal system: tetragonal
- Formation energy from raw total energies: -1.020 eV per atom

Quantum ESPRESSO input file:
```
&SYSTEM
  ibrav = 0, nat = 8, ntyp = 3
/
ATOMIC_SPECIES
Zr 91.22 Zr.upf
Bi 208.98 Bi.upf
O 16.00 O.upf
CELL_PARAMETERS angstrom
-2.891 2.891 5.651
2.891 -2.891 5.651
2.891 2.891 -5.651
ATOMIC_POSITIONS angstrom
Zr 0.691 1.445 1.413
Zr -1.445 2.199 4.238
Zr -0.691 4.336 1.413
Zr 1.445 3.582 4.238
Bi 2.891 0.000 2.825
Bi 0.000 0.000 5.651
O 0.000 0.000 0.000
O 0.000 2.891 2.825
```

***

[2]
An optimized crystal structure of SmNbCo10, computed with GGA-PBE. Values from VASP.

Results
- Magnetization: 12.9 μB/cell
- Electronic total energy: -0.263 hartree per atom
- Crystal system: orthorhombic
- Formation enthalpy at 0 K: 0.08 eV/f.u.

Quantum ESPRESSO input file:
```
&SYSTEM
  ibrav = 0, nat = 12, ntyp = 3
/
ATOMIC_SPECIES
Sm 150.36 Sm.upf
Nb 92.91 Nb.upf
Co 58.93 Co.upf
CELL_PARAMETERS angstrom
3.980 0.000 0.000
0.000 4.792 0.000
0.000 0.000 8.346
ATOMIC_POSITIONS angstrom
Sm 0.000 0.000 0.000
Nb 0.000 2.396 4.173
Co 0.000 0.000 2.895
Co 0.000 0.000 5.451
Co 0.000 2.396 1.544
Co 0.000 2.396 6.802
Co 1.990 0.000 4.173
Co 1.990 1.233 2.184
Co 1.990 1.233 6.162
Co 1.990 2.396 0.000
Co 1.990 3.559 2.184
Co 1.990 3.559 6.162
```

***

[3]
An optimized crystal structure of Hf2TlZn, computed with GGA-PBE. Values from VASP.

Results
- Magnetization: 0.0 μB/cell
- Electronic total energy: -0.205 hartree per atom
- Crystal system: tetragonal
- Formation enthalpy at 0 K: 1.29 eV/f.u.

Quantum ESPRESSO input file:
```
&SYSTEM
  ibrav = 0, nat = 8, ntyp = 3
/
ATOMIC_SPECIES
Hf 178.49 Hf.upf
Tl 204.38 Tl.upf
Zn 65.41 Zn.upf
CELL_PARAMETERS angstrom
-3.850 3.850 2.957
3.850 -3.850 2.957
3.850 3.850 -2.957
ATOMIC_POSITIONS angstrom
Hf 5.775 1.766 -0.739
Hf 1.766 1.925 0.739
Hf -1.925 2.084 2.217
Hf 2.084 1.925 3.696
Tl 3.850 0.000 1.478
Tl 0.000 0.000 2.957
Zn 0.000 0.000 0.000
Zn 0.000 3.850 1.478
```

***

[4]
An optimized crystal structure of BC2, computed with GGA-PBE. Values from VASP.

Results
- Magnetization: 0.0 μB/cell
- Electronic total energy: -0.295 hartree per atom
- Crystal system: triclinic
- Formation enthalpy at 0 K: 1.08 eV/f.u.

Quantum ESPRESSO input file:
```
&SYSTEM
  ibrav = 0, nat = 12, ntyp = 2
/
ATOMIC_SPECIES
B 10.81 B.upf
C 12.01 C.upf
CELL_PARAMETERS angstrom
3.748 0.000 0.000
1.825 4.152 0.000
0.032 1.638 4.973
ATOMIC_POSITIONS angstrom
B 0.000 0.000 0.000
B 1.958 4.876 2.514
B 1.727 1.412 0.925
B 3.045 2.961 0.415
C 1.025 2.857 4.524
C 1.013 2.062 2.152
C 1.946 2.420 3.339
C 2.877 3.609 2.951
C 3.806 4.051 4.102
C 3.817 3.224 1.776
C 4.605 5.327 3.749
C 4.635 4.443 1.314
```

***

[5]
An optimized crystal structure of CaYCdRh, computed with GGA-PBE. Values from VASP.

Results
- Magnetization: 0.0 μB/cell
- Electronic total energy: -0.172 hartree per atom
- Crystal system: tetragonal
- Formation enthalpy at 0 K: -2.02 eV/f.u.

Quantum ESPRESSO input file:
```
&SYSTEM
  ibrav = 0, nat = 4, ntyp = 4
/
ATOMIC_SPECIES
Ca 40.08 Ca.upf
Y 88.91 Y.upf
Cd 112.41 Cd.upf
Rh 102.91 Rh.upf
CELL_PARAMETERS angstrom
3.573 0.000 0.000
0.000 3.573 0.000
0.000 0.000 7.473
ATOMIC_POSITIONS angstrom
Ca 0.000 0.000 0.000
Y 0.000 0.000 4.166
Cd 1.786 1.786 2.131
Rh 1.786 1.786 5.585
```

***

[6]
An optimized crystal structure of Fe3Os5, computed with GGA-PBE. Values from VASP.

Results
- Magnetization: 0.9 μB/cell
- Electronic total energy: -0.369 hartree per atom
- Crystal system: orthorhombic
- Formation enthalpy at 0 K: 1.16 eV/f.u.

Quantum ESPRESSO input file:
```
&SYSTEM
  ibrav = 0, nat = 8, ntyp = 2
/
ATOMIC_SPECIES
Fe 55.84 Fe.upf
Os 190.23 Os.upf
CELL_PARAMETERS angstrom
3.690 -3.775 0.000
3.690 3.775 0.000
0.000 0.000 3.787
ATOMIC_POSITIONS angstrom
Fe 0.000 0.000 0.000
Fe 3.690 1.874 1.894
Fe 3.690 -1.874 1.894
Os 1.845 1.888 0.000
Os 1.783 0.000 1.894
Os 1.845 -1.888 0.000
Os 3.690 0.000 0.000
Os 5.598 0.000 1.894
```

***

[7]
An optimized crystal structure of BeNiB5, computed with GGA-PBE. Values from VASP.

Results
- Magnetization: 0.0 μB/cell
- Electronic total energy: -0.220 hartree per atom
- Crystal system: triclinic
- Formation enthalpy at 0 K: 0.93 eV/f.u.

Quantum ESPRESSO input file:
```
&SYSTEM
  ibrav = 0, nat = 14, ntyp = 3
/
ATOMIC_SPECIES
Be 9.01 Be.upf
Ni 58.69 Ni.upf
B 10.81 B.upf
CELL_PARAMETERS angstrom
3.703 0.000 0.000
-0.879 5.546 0.000
-1.281 -2.734 5.138
ATOMIC_POSITIONS angstrom
Be -0.300 1.078 0.495
Be 1.842 1.734 4.643
Ni -1.080 1.406 2.569
Ni 1.211 -1.367 2.569
B -0.501 -0.562 3.067
B -0.918 0.013 4.723
B 0.675 0.585 2.182
B 0.327 -1.206 4.599
B 1.418 0.134 0.721
B 0.124 2.679 4.417
B 1.215 4.018 0.538
B 0.867 2.227 2.956
B 2.461 2.799 0.415
B 2.043 3.374 2.071
```

***

[8]
An optimized crystal structure of PrPaAgPb, computed with GGA-PBE. Values from VASP.

Results
- Magnetization: 3.0 μB/cell
- Electronic total energy: -0.190 hartree per atom
- Crystal system: cubic
- Formation enthalpy at 0 K: 0.16 eV/f.u.

Quantum ESPRESSO input file:
```
&SYSTEM
  ibrav = 0, nat = 4, ntyp = 4
/
ATOMIC_SPECIES
Pr 140.91 Pr.upf
Pa 231.04 Pa.upf
Ag 107.87 Ag.upf
Pb 207.20 Pb.upf
CELL_PARAMETERS angstrom
0.000 3.827 3.827
3.827 0.000 3.827
3.827 3.827 0.000
ATOMIC_POSITIONS angstrom
Pr 0.000 0.000 0.000
Pa 3.827 3.827 3.827
Ag 5.741 5.741 5.741
Pb 1.914 1.914 1.914
```